This record from the Alexandria database describes a geometry-optimized Zr5Ge2P2 structure. The functional is GGA-PBE.

Calculated values
Crystal system: orthorhombic
Mass density: 6447 kg/m³
Energy of formation from the pure elements: -1.024 eV per atom
Calculated volume: 18.983 Å³/atom
Space-group type: Cmce, No. 64

Unit cell a=7.1398 b=7.0766 c=7.6471 alpha=90.00 beta=62.17 gamma=90.00
Last column: nearest neighbours and their distance in Å.
Fractional coordinates of all 18 atoms:
Zr 0.7910 0.8374 0.7395  3 P 2.70-2.75, 3 Ge 2.76-2.87
Zr 0.7090 0.3374 0.2605  3 P 2.70-2.75, 3 Ge 2.76-2.87
Zr 0.2090 0.1626 0.2605  3 P 2.70-2.75, 3 Ge 2.76-2.87
Zr 0.2910 0.6626 0.7395  3 P 2.70-2.75, 3 Ge 2.76-2.87
Zr 0.0305 0.6626 0.2605  3 P 2.70-2.75, 3 Ge 2.76-2.87
Zr 0.5305 0.8374 0.2605  3 P 2.70-2.75, 3 Ge 2.76-2.87
Zr 0.9695 0.3374 0.7395  3 P 2.70-2.75, 3 Ge 2.76-2.87
Zr 0.0000 0.0000 0.0000  4 P 2.76-2.78, 2 Ge 2.77
Zr 0.5000 0.5000 0.0000  4 P 2.76-2.78, 2 Ge 2.77
Zr 0.4695 0.1626 0.7395  3 P 2.70-2.75, 3 Ge 2.76-2.87
Ge 0.7949 0.0000 0.4102  7 Zr 2.76-2.87
Ge 0.2051 0.0000 0.5898  7 Zr 2.76-2.87
Ge 0.2949 0.5000 0.4102  7 Zr 2.76-2.87
Ge 0.7051 0.5000 0.5898  7 Zr 2.76-2.87
P 0.6343 0.1346 0.0000  1 P 2.70, 8 Zr 2.70-2.78
P 0.3657 0.8654 0.0000  1 P 2.70, 8 Zr 2.70-2.78
P 0.8657 0.6346 0.0000  1 P 2.70, 8 Zr 2.70-2.78
P 0.1343 0.3654 0.0000  1 P 2.70, 8 Zr 2.70-2.78